The following is a DFT calculation (GGA-PBE) of a relaxed structure of Cd3Ag8Sn2.

abc: 7.225 4.744 8.729
angles: 90.00 114.44 90.00
Space group P2/m (No. 10)
One atom of each set of equivalent atoms:
Cd 0.000 0.000 0.000 x1
Cd 0.293 0.500 0.000 x2
Ag 0.135 0.500 0.270 x2
Ag 0.196 0.000 0.786 x2
Ag 0.333 0.500 0.665 x2
Ag 0.411 0.000 0.214 x2
Sn 0.231 0.000 0.462 x2

Output
**Magnetic moment**: 0.0 μB/f.u.
**Energy relative to the elements**: 0.64 eV per formula unit

The following is a DFT calculation (GGA-PBE) of a relaxed structure of SrHg2Ir.

abc: 3.6339 3.6339 26.8423
angles: 90.00 90.00 120.00
Space group R3m (No. 160, hexagonal axes)
One atom of each set of equivalent atoms:
Sr 0.0000 0.0000 0.0000 x3
Hg 0.0000 0.0000 0.5175 x3
Hg 0.0000 0.0000 0.7650 x3
Ir 0.0000 0.0000 0.2545 x3

Output
**Magnetic moment**: 0.0 μB/f.u.
**Energy relative to the elements**: 1.16 eV per formula unit

The following is a DFT calculation (GGA-PBE) of a relaxed structure of Pm3Pr2ErBi6.

abc: 19.952 4.581 9.156
angles: 90.00 103.27 90.00
Space group C2/m (No. 12)
One atom of each set of equivalent atoms:
Pm 0.000 0.000 0.000 x2
Pm 0.168 0.500 0.334 x4
Pr 0.166 0.500 0.832 x4
Er 0.000 0.000 0.500 x2
Bi 0.002 0.500 0.257 x4
Bi 0.164 0.000 0.579 x4
Bi 0.166 0.000 0.085 x4

Output
**Magnetic moment**: 0.0 μB/f.u.
**Energy relative to the elements**: -11.05 eV per formula unit

The following is a DFT calculation (GGA-PBE) of a relaxed structure of SmZnGe4.

abc: 7.881 7.881 7.881
angles: 90.00 90.00 90.00
Space group F-43m (No. 216)
One atom of each set of equivalent atoms:
Sm 0.000 0.000 0.000 x4
Zn 0.250 0.250 0.250 x4
Ge 0.125 0.125 0.625 x16

Output
**Magnetic moment**: 0.0 μB/f.u.
**Energy relative to the elements**: -0.93 eV per formula unit

What is the energy relative to the elements in the first record?
0.64 eV per formula unit